{
  "formula": "LiCd2MoO6",
  "functional": "PBE with a Hubbard U",
  "state": "relaxed",
  "cell": [[5.353, 0.000, 0.002], [0.000, 5.550, 0.000], [0.053, 0.000, 8.344]],
  "species": ["Li", "Li", "Cd", "Cd", "Cd", "Cd", "Mo", "Mo", "O", "O", "O", "O", "O", "O", "O", "O", "O", "O", "O", "O"],
  "frac_coords": [[0.500, 0.000, 0.000], [0.000, 0.500, 0.500], [0.028, 0.950, 0.254], [0.528, 0.550, 0.754], [0.972, 0.050, 0.746], [0.472, 0.450, 0.246], [0.500, 0.000, 0.500], [0.000, 0.500, 0.000], [0.276, 0.708, 0.050], [0.776, 0.792, 0.550], [0.724, 0.292, 0.950], [0.224, 0.208, 0.450], [0.307, 0.727, 0.415], [0.807, 0.773, 0.915], [0.693, 0.273, 0.585], [0.193, 0.227, 0.085], [0.866, 0.566, 0.216], [0.366, 0.934, 0.716], [0.134, 0.434, 0.784], [0.634, 0.066, 0.284]],
  "rho_g_cm3": 5.676,
  "dos_at_fermi_per_ev_cell": 12.81,
  "final_energy_ev_per_cell": -106.2
}